Arrangement a

A plane-wave DFT calculation with PBE was carried out for a relaxed Tb4ErTm crystal.

extended XYZ file:
```
12
Lattice="-2.828 11.026 3.038 2.828 -11.026 3.038 2.828 11.026 -3.038" Properties=species:S:1:pos:R:3 pbc="T T T"
Tb 2.828 3.717 -0.453
Tb 0.000 1.937 0.369
Tb 2.828 7.309 -0.453
Tb 0.000 9.089 0.369
Tb 2.828 1.937 2.668
Tb 0.000 3.717 3.490
Tb 2.828 9.089 2.668
Tb 0.000 7.309 3.490
Er 2.828 0.000 0.000
Er 0.000 0.000 3.038
Tm 0.000 5.513 0.478
Tm 2.828 5.513 2.559
```

Computed properties:
**SG**: No. 74

=====

Arrangement b

A plane-wave DFT calculation with PBE was carried out for a relaxed Tb4ErTm crystal.

extended XYZ file:
```
12
Lattice="17.174 0.000 0.000 0.000 3.566 0.000 -0.738 0.000 6.134" Properties=species:S:1:pos:R:3 pbc="T T T"
Tb 2.566 0.000 2.382
Tb 2.197 1.783 5.450
Tb 5.653 0.000 0.685
Tb 5.284 1.783 3.752
Tb 10.784 0.000 5.450
Tb 11.153 1.783 2.382
Tb 13.871 0.000 3.752
Tb 14.240 1.783 0.685
Er 0.000 0.000 0.000
Er 8.587 1.783 0.000
Tm -0.369 1.783 3.067
Tm 8.218 0.000 3.067
```

Computed properties:
**SG**: No. 12

=====

Which of them is the most stable? Correct choice: arrangement b.